Computed, not measured: SnMoN2O after structural relaxation at the PBE+U level of DFT.

Geometry as POSCAR:
```
SnMoN2O
1.0
4.0392 0.0000 0.0000
0.0000 4.0392 0.0000
0.0000 0.0000 3.9880
Mo Sn O N
1 1 1 2
Direct
0.0000 0.0000 0.0000
0.5000 0.5000 0.5000
0.0000 0.0000 0.5000
0.0000 0.5000 0.0000
0.5000 0.0000 0.0000
```

Summary:
Density of states at the Fermi level ... 1.76 states/eV per cell
Final energy ... -6.5080 eV/atom
Symmetry ... No. 123
Theoretical density ... 6.60 Mg/m³